DFT (PBE-GGA) results for a relaxed structure of CsGa2Cl6.

```
CsGa2Cl6
1.0
7.8309 -6.6697 0.0000
7.8309 6.6697 0.0000
-3.7996 0.0000 7.0346
Cs Ga Cl
2 4 12
direct
0.1734 0.8266 0.7500
0.8266 0.1734 0.2500
0.2122 0.3599 0.8312
0.3599 0.2122 0.3312
0.6401 0.7878 0.6688
0.7878 0.6401 0.1688
0.0729 0.5490 0.8297
0.0831 0.1708 0.6883
0.1708 0.0831 0.1883
0.3454 0.3542 0.1439
0.3542 0.3454 0.6439
0.4510 0.9271 0.6703
0.5490 0.0729 0.3297
0.6458 0.6546 0.3561
0.6546 0.6458 0.8561
0.8292 0.9169 0.8117
0.9169 0.8292 0.3117
0.9271 0.4510 0.1703
```

Output
Its space-group type is C2/c, No. 15. Its total moment is 0.00 Bohr magnetons per cell.

=====

DFT (PBE-GGA) results for a relaxed structure of Cs2GaCl.

```
Cs2GaCl
1.0
-4.7415 4.7415 5.2486
4.7415 -4.7415 5.2486
4.7415 4.7415 -5.2486
Cs Ga Cl
4 2 2
direct
0.0769 0.1250 0.4519
0.3750 0.9231 0.0481
0.6731 0.6250 0.5481
0.8750 0.3269 0.9519
0.2500 0.7500 0.5000
0.5000 0.5000 0.0000
0.0000 0.0000 0.0000
0.7500 0.2500 0.5000
```

Output
Its space-group type is I-42d, No. 122. Its total moment is 3.67 Bohr magnetons per cell.

=====

no.,ΔE_f (raw) (eV per formula unit)
1,-11.0
2,-2.4